Entry from the Alexandria database: a geometry-optimized ScNiHgPt structure (PBE-GGA).

extended XYZ file:
```
4
Lattice="4.575 0.000 0.000 2.288 3.962 0.000 2.288 1.321 3.736" Properties=species:S:1:pos:R:3 pbc="T T T"
Sc 4.575 2.642 1.868
Ni 2.288 1.321 0.934
Hg 0.000 0.000 0.000
Pt 6.863 3.962 2.802
```

## Properties
- size of the total moment (μB/atom) = 0.000
- ΔE_f (eV per atom) = -0.483


Entry from the Alexandria database: a geometry-optimized Hf2Mn2Sb structure (PBE-GGA).

extended XYZ file:
```
10
Lattice="6.462 0.000 0.000 0.000 6.462 0.000 0.000 0.000 4.196" Properties=species:S:1:pos:R:3 pbc="T T T"
Sb 0.000 0.000 0.000
Sb 3.231 3.231 0.000
Mn 2.519 5.749 0.000
Mn 5.749 3.943 0.000
Mn 3.943 0.712 0.000
Mn 0.712 2.519 0.000
Hf 1.159 4.390 2.098
Hf 4.390 5.303 2.098
Hf 5.303 2.072 2.098
Hf 2.072 1.159 2.098
```

## Properties
- size of the total moment (μB/atom) = 0.000
- raw formation energy (eV per atom) = -0.144


Entry from the Alexandria database: a geometry-optimized In2AgRu structure (PBE-GGA).

extended XYZ file:
```
4
Lattice="-3.342 -2.610 -2.136 3.642 -1.286 -2.761 0.653 -2.491 2.022" Properties=species:S:1:pos:R:3 pbc="T T T"
Ag 2.148 -1.889 -0.370
In 0.000 0.000 0.000
In 0.150 -1.948 -2.449
Ru -1.344 -2.551 -0.057
```

## Properties
- size of the total moment (μB/atom) = 0.000
- ΔE_f (eV per atom) = 0.092


Entry from the Alexandria database: a geometry-optimized InTeBrN2 structure (PBE-GGA).

extended XYZ file:
```
5
Lattice="4.452 0.000 0.000 0.000 4.452 0.000 0.000 0.000 6.465" Properties=species:S:1:pos:R:3 pbc="T T T"
N 0.000 2.226 0.000
N 2.226 0.000 0.000
Te 0.000 0.000 3.233
Br 2.226 2.226 3.233
In 0.000 0.000 0.000
```

## Properties
- size of the total moment (μB/atom) = 0.730
- raw formation energy (eV per atom) = 1.380
- ΔE to the lowest computed polymorph (meV/atom) = 0.0